# 1
NaInCoS3: relaxed, GGA-PBE.

Calculated values
Raw total energy   -0.166 hartree per atom
Symmetry   No. 11
Calculated density   3.78 g/cm3
Volume   21.45 Å³ per atom

a b c (Å): 7.549 3.711 9.383
angles (deg): 90.00 101.70 90.00
Positions (direct):
Na: 0.229 0.250 0.278
Na: 0.771 0.750 0.722
In: 0.318 0.750 0.883
In: 0.682 0.250 0.117
Co: 0.073 0.250 0.583
Co: 0.927 0.750 0.417
S: 0.078 0.250 0.831
S: 0.207 0.750 0.535
S: 0.444 0.750 0.158
S: 0.556 0.250 0.842
S: 0.793 0.250 0.465
S: 0.922 0.750 0.169

=====

# 2
NaTaInCo: relaxed, GGA-PBE.

Calculated values
Raw total energy   -0.190 hartree per atom
Symmetry   No. 216
Calculated density   9.00 g/cm3
Volume   17.42 Å³ per atom

a b c (Å): 6.533 6.533 6.533
angles (deg): 90.00 90.00 90.00
Positions (direct):
Na: 0.000 0.000 0.000
Na: 0.000 0.500 0.500
Na: 0.500 0.000 0.500
Na: 0.500 0.500 0.000
Ta: 0.000 0.000 0.500
Ta: 0.000 0.500 0.000
Ta: 0.500 0.000 0.000
Ta: 0.500 0.500 0.500
In: 0.250 0.250 0.750
In: 0.250 0.750 0.250
In: 0.750 0.250 0.250
In: 0.750 0.750 0.750
Co: 0.250 0.250 0.250
Co: 0.250 0.750 0.750
Co: 0.750 0.250 0.750
Co: 0.750 0.750 0.250

=====

# 3
NaTaInCo: relaxed, GGA-PBE.

Calculated values
Raw total energy   -0.197 hartree per atom
Symmetry   No. 216
Calculated density   9.72 g/cm3
Volume   16.13 Å³ per atom

a b c (Å): 6.367 6.367 6.367
angles (deg): 90.00 90.00 90.00
Positions (direct):
Na: 0.000 0.000 0.000
Na: 0.000 0.500 0.500
Na: 0.500 0.000 0.500
Na: 0.500 0.500 0.000
Ta: 0.250 0.250 0.250
Ta: 0.250 0.750 0.750
Ta: 0.750 0.250 0.750
Ta: 0.750 0.750 0.250
In: 0.250 0.250 0.750
In: 0.250 0.750 0.250
In: 0.750 0.250 0.250
In: 0.750 0.750 0.750
Co: 0.000 0.000 0.500
Co: 0.000 0.500 0.000
Co: 0.500 0.000 0.000
Co: 0.500 0.500 0.500

=====

# 4
NbInCo2: relaxed, GGA-PBE.

Calculated values
Raw total energy   -0.235 hartree per atom
Symmetry   No. 216
Calculated density   9.02 g/cm3
Volume   14.99 Å³ per atom

a b c (Å): 6.213 6.213 6.213
angles (deg): 90.00 90.00 90.00
Positions (direct):
Nb: 0.000 0.000 0.000
Nb: 0.000 0.500 0.500
Nb: 0.500 0.000 0.500
Nb: 0.500 0.500 0.000
In: 0.250 0.250 0.250
In: 0.250 0.750 0.750
In: 0.750 0.250 0.750
In: 0.750 0.750 0.250
Co: 0.000 0.000 0.500
Co: 0.000 0.500 0.000
Co: 0.250 0.250 0.750
Co: 0.250 0.750 0.250
Co: 0.500 0.000 0.000
Co: 0.500 0.500 0.500
Co: 0.750 0.250 0.250
Co: 0.750 0.750 0.750

=====

# 5
NbIn2Co: relaxed, GGA-PBE.

Calculated values
Raw total energy   -0.193 hartree per atom
Symmetry   No. 216
Calculated density   8.90 g/cm3
Volume   17.79 Å³ per atom

a b c (Å): 6.578 6.578 6.578
angles (deg): 90.00 90.00 90.00
Positions (direct):
Nb: 0.000 0.000 0.000
Nb: 0.000 0.500 0.500
Nb: 0.500 0.000 0.500
Nb: 0.500 0.500 0.000
In: 0.000 0.000 0.500
In: 0.000 0.500 0.000
In: 0.250 0.250 0.750
In: 0.250 0.750 0.250
In: 0.500 0.000 0.000
In: 0.500 0.500 0.500
In: 0.750 0.250 0.250
In: 0.750 0.750 0.750
Co: 0.250 0.250 0.250
Co: 0.250 0.750 0.750
Co: 0.750 0.250 0.750
Co: 0.750 0.750 0.250

=====

# 6
NbInCoPt: relaxed, GGA-PBE.

Calculated values
Raw total energy   -0.238 hartree per atom
Symmetry   No. 216
Calculated density   11.78 g/cm3
Volume   16.28 Å³ per atom

a b c (Å): 6.386 6.386 6.386
angles (deg): 90.00 90.00 90.00
Positions (direct):
Nb: 0.000 0.000 0.000
Nb: 0.000 0.500 0.500
Nb: 0.500 0.000 0.500
Nb: 0.500 0.500 0.000
In: 0.250 0.250 0.250
In: 0.250 0.750 0.750
In: 0.750 0.250 0.750
In: 0.750 0.750 0.250
Co: 0.000 0.000 0.500
Co: 0.000 0.500 0.000
Co: 0.500 0.000 0.000
Co: 0.500 0.500 0.500
Pt: 0.250 0.250 0.750
Pt: 0.250 0.750 0.250
Pt: 0.750 0.250 0.250
Pt: 0.750 0.750 0.750